1.
{"formula": "Sc2CrAg", "functional": "GGA-PBE", "state": "relaxed", "e_tot_ev_per_atom": -6.191, "vol_a3_per_cell": 78.51, "magmom_total_mub_per_cell": 2.66, "formation_enthalpy_0k_mev_per_atom": 94, "lattice": [[5.453, -0.108, 0.079], [4.548, 3.010, 0.079], [1.365, 0.396, 4.667]], "species": ["Ag", "Cr", "Sc", "Sc"], "fractional_positions": [[0.513, 0.513, 0.532], [0.240, 0.240, 0.206], [0.984, 0.984, 0.058], [0.763, 0.763, 0.705]]}

2.
{"formula": "ScCr2Ag", "functional": "GGA-PBE", "state": "relaxed", "e_tot_ev_per_atom": -6.880, "vol_a3_per_cell": 68.07, "polymorph_energy_mev_per_atom": 75, "magmom_total_mub_per_cell": 0.85, "formation_enthalpy_0k_mev_per_atom": 227, "lattice": [[-4.423, -0.514, 1.084], [-1.829, -4.196, 0.238], [-1.173, -1.761, 4.065]], "species": ["Ag", "Cr", "Cr", "Sc"], "fractional_positions": [[0.500, 0.500, 0.500], [0.000, 0.000, 0.000], [0.250, 0.250, 0.250], [0.750, 0.750, 0.750]]}

3.
{"formula": "Sc2CrAg", "functional": "GGA-PBE", "state": "relaxed", "e_tot_ev_per_atom": -6.250, "vol_a3_per_cell": 78.15, "magmom_total_mub_per_cell": 3.41, "formation_enthalpy_0k_mev_per_atom": 34, "lattice": [[4.750, 0.000, 0.000], [0.000, 4.752, 0.000], [0.000, 0.000, 3.463]], "species": ["Ag", "Cr", "Sc", "Sc"], "fractional_positions": [[0.500, 0.000, 0.500], [0.000, 0.500, 0.500], [0.000, 0.000, 0.000], [0.500, 0.500, 0.000]]}

4.
{"formula": "ScCrAg", "functional": "GGA-PBE", "state": "relaxed", "e_tot_ev_per_atom": -6.012, "vol_a3_per_cell": 56.21, "polymorph_energy_mev_per_atom": 48, "magmom_total_mub_per_cell": 3.72, "formation_enthalpy_0k_mev_per_atom": 257, "lattice": [[-4.585, 0.576, -0.448], [1.865, -0.592, 4.210], [0.348, 2.979, 0.265]], "species": ["Ag", "Cr", "Sc"], "fractional_positions": [[0.000, 0.000, 0.045], [0.667, 0.333, 0.290], [0.333, 0.667, 0.665]]}

5.
{"formula": "Sc2CrAg", "functional": "GGA-PBE", "state": "relaxed", "e_tot_ev_per_atom": -6.123, "vol_a3_per_cell": 81.54, "magmom_total_mub_per_cell": 3.43, "formation_enthalpy_0k_mev_per_atom": 162, "lattice": [[3.596, 0.000, 0.000], [0.000, 3.596, 0.000], [0.000, 0.000, 6.304]], "species": ["Ag", "Cr", "Sc", "Sc"], "fractional_positions": [[0.000, 0.000, 0.502], [0.500, 0.500, 0.759], [0.000, 0.000, 0.963], [0.500, 0.500, 0.277]]}

6.
{"formula": "Sc2CrAg", "functional": "GGA-PBE", "state": "relaxed", "e_tot_ev_per_atom": -6.181, "vol_a3_per_cell": 78.40, "magmom_total_mub_per_cell": 2.52, "formation_enthalpy_0k_mev_per_atom": 103, "lattice": [[-3.565, 4.319, -1.210], [-5.029, 0.359, 2.722], [5.694, -0.213, 0.604]], "species": ["Ag", "Cr", "Sc", "Sc"], "fractional_positions": [[0.489, 0.489, 0.000], [0.263, 0.763, 0.500], [0.011, 0.011, 0.000], [0.737, 0.237, 0.500]]}

7.
{"formula": "ScCr2Ag", "functional": "GGA-PBE", "state": "relaxed", "e_tot_ev_per_atom": -6.515, "vol_a3_per_cell": 63.98, "polymorph_energy_mev_per_atom": 440, "magmom_total_mub_per_cell": 0.00, "formation_enthalpy_0k_mev_per_atom": 592, "lattice": [[2.677, 0.000, 0.000], [0.000, 4.490, 0.000], [0.000, 0.000, 5.324]], "species": ["Ag", "Cr", "Cr", "Sc"], "fractional_positions": [[0.500, 0.500, 0.750], [0.000, 0.000, 0.036], [0.000, 0.000, 0.464], [0.500, 0.500, 0.250]]}

8.
{"formula": "Sc2CrAg", "functional": "GGA-PBE", "state": "relaxed", "e_tot_ev_per_atom": -6.045, "vol_a3_per_cell": 80.16, "magmom_total_mub_per_cell": 2.65, "formation_enthalpy_0k_mev_per_atom": 239, "lattice": [[5.005, -0.031, -0.063], [4.005, 3.002, -0.063], [1.154, 0.381, 5.276]], "species": ["Ag", "Cr", "Sc", "Sc"], "fractional_positions": [[0.750, 0.750, 0.750], [0.250, 0.250, 0.250], [0.000, 0.000, 0.011], [0.500, 0.500, 0.489]]}

9.
{"formula": "ScCr2Ag", "functional": "GGA-PBE", "state": "relaxed", "e_tot_ev_per_atom": -6.323, "vol_a3_per_cell": 157.31, "polymorph_energy_mev_per_atom": 632, "magmom_total_mub_per_cell": 15.85, "formation_enthalpy_0k_mev_per_atom": 784, "lattice": [[7.393, 0.000, 0.000], [0.000, 7.393, 0.000], [3.696, 3.696, 2.878]], "species": ["Sc", "Sc", "Cr", "Cr", "Cr", "Cr", "Ag", "Ag"], "fractional_positions": [[0.500, 0.500, 0.000], [0.250, 0.750, 0.500], [0.642, 0.125, 0.250], [0.108, 0.625, 0.250], [0.375, 0.358, 0.750], [0.875, 0.892, 0.750], [0.000, 0.000, 0.000], [0.750, 0.250, 0.500]]}

10.
{"formula": "Sc2CrAg", "functional": "GGA-PBE", "state": "relaxed", "e_tot_ev_per_atom": -5.533, "vol_a3_per_cell": 157.58, "magmom_total_mub_per_cell": 0.00, "formation_enthalpy_0k_mev_per_atom": 751, "lattice": [[-2.423, -3.226, -0.847], [2.405, -0.964, -3.207], [5.188, -7.444, 3.478]], "species": ["Sc", "Sc", "Sc", "Sc", "Cr", "Cr", "Ag", "Ag"], "fractional_positions": [[0.613, 0.125, 0.250], [0.137, 0.625, 0.250], [0.375, 0.387, 0.750], [0.875, 0.863, 0.750], [0.500, 0.500, 0.000], [0.250, 0.750, 0.500], [0.000, 0.000, 0.000], [0.750, 0.250, 0.500]]}

11.
{"formula": "ScCrAg", "functional": "GGA-PBE", "state": "relaxed", "e_tot_ev_per_atom": -6.060, "vol_a3_per_cell": 55.95, "polymorph_energy_mev_per_atom": 0, "magmom_total_mub_per_cell": 3.85, "formation_enthalpy_0k_mev_per_atom": 209, "lattice": [[-4.103, -2.629, 2.092], [-3.082, -4.246, -0.775], [1.197, -2.614, 1.900]], "species": ["Ag", "Cr", "Sc"], "fractional_positions": [[0.995, 0.995, 0.005], [0.334, 0.334, 0.666], [0.671, 0.671, 0.329]]}

12.
{"formula": "ScCrAg2Se", "functional": "GGA-PBE", "state": "relaxed", "e_tot_ev_per_atom": -4.446, "vol_a3_per_cell": 135.18, "e_form_raw_ev_per_atom": 0.58, "magmom_total_mub_per_cell": 4.72, "lattice": [[5.241, 0.000, 0.000], [0.000, 4.921, 0.000], [0.000, 0.000, 5.241]], "species": ["Sc", "Cr", "Se", "Ag", "Ag"], "fractional_positions": [[0.000, 0.000, 0.000], [0.500, 0.500, 0.500], [0.000, 0.500, 0.000], [0.000, 0.000, 0.500], [0.500, 0.000, 0.000]]}

13.
{"formula": "ScCr2AgTe", "functional": "GGA-PBE", "state": "relaxed", "e_tot_ev_per_atom": -5.404, "vol_a3_per_cell": 129.19, "e_form_raw_ev_per_atom": 0.91, "magmom_total_mub_per_cell": 6.63, "lattice": [[5.001, 0.000, 0.000], [0.000, 5.166, 0.000], [0.000, 0.000, 5.001]], "species": ["Sc", "Cr", "Cr", "Te", "Ag"], "fractional_positions": [[0.500, 0.500, 0.500], [0.000, 0.000, 0.500], [0.500, 0.000, 0.000], [0.000, 0.000, 0.000], [0.000, 0.500, 0.000]]}

14.
{"formula": "Sc2VCrAg", "functional": "GGA-PBE", "state": "relaxed", "e_tot_ev_per_atom": -5.512, "vol_a3_per_cell": 106.01, "magmom_total_mub_per_cell": 0.80, "formation_enthalpy_0k_mev_per_atom": 1339, "lattice": [[-1.192, -1.209, -4.355], [1.649, -4.493, 0.796], [-4.231, -1.284, 1.515]], "species": ["Sc", "Sc", "Cr", "Ag", "V"], "fractional_positions": [[0.000, 0.000, 0.500], [0.500, 0.000, 0.000], [0.500, 0.500, 0.500], [0.000, 0.500, 0.000], [0.000, 0.000, 0.000]]}

15.
{"formula": "ScZnCrAg2", "functional": "GGA-PBE", "state": "relaxed", "e_tot_ev_per_atom": -3.861, "vol_a3_per_cell": 114.75, "magmom_total_mub_per_cell": 4.42, "formation_enthalpy_0k_mev_per_atom": 726, "lattice": [[-4.587, -0.190, -1.403], [1.113, -3.704, -3.138], [-0.924, -3.204, 3.453]], "species": ["Sc", "Cr", "Zn", "Ag", "Ag"], "fractional_positions": [[0.000, 0.500, 0.000], [0.500, 0.500, 0.500], [0.000, 0.000, 0.000], [0.000, 0.000, 0.500], [0.500, 0.000, 0.000]]}

16.
{"formula": "CrAg2Se", "functional": "GGA-PBE", "state": "relaxed", "e_tot_ev_per_atom": -4.427, "vol_a3_per_cell": 74.31, "e_form_raw_ev_per_atom": 0.28, "magmom_total_mub_per_cell": 4.28, "lattice": [[-1.854, -4.205, -1.705], [2.720, -0.579, -4.036], [1.691, 0.781, 4.534]], "species": ["Ag", "Ag", "Cr", "Se"], "fractional_positions": [[0.000, 0.000, 0.000], [0.250, 0.750, 0.500], [0.500, 0.500, 0.000], [0.750, 0.250, 0.500]]}

17.
{"formula": "CrAg2Se", "functional": "GGA-PBE", "state": "relaxed", "e_tot_ev_per_atom": -4.350, "vol_a3_per_cell": 161.88, "e_form_raw_ev_per_atom": 0.35, "magmom_total_mub_per_cell": 8.09, "lattice": [[7.848, 0.000, 0.000], [0.000, 7.848, 0.000], [3.924, 3.924, 2.629]], "species": ["Cr", "Cr", "Se", "Se", "Ag", "Ag", "Ag", "Ag"], "fractional_positions": [[0.500, 0.500, 0.000], [0.250, 0.750, 0.500], [0.000, 0.000, 0.000], [0.750, 0.250, 0.500], [0.650, 0.125, 0.250], [0.100, 0.625, 0.250], [0.375, 0.350, 0.750], [0.875, 0.900, 0.750]]}

18.
{"formula": "CrAgSe3", "functional": "GGA-PBE", "state": "relaxed", "e_tot_ev_per_atom": -4.475, "vol_a3_per_cell": 119.95, "polymorph_energy_mev_per_atom": 0, "e_form_raw_ev_per_atom": 0.11, "magmom_total_mub_per_cell": 1.53, "lattice": [[-3.058, -3.083, 2.343], [-1.815, -1.695, -4.264], [3.315, -3.652, -0.143]], "species": ["Cr", "Ag", "Se", "Se", "Se"], "fractional_positions": [[0.252, 0.252, 0.252], [0.795, 0.795, 0.795], [0.717, 0.181, 0.181], [0.181, 0.717, 0.181], [0.181, 0.181, 0.717]]}

19.
{"formula": "CrAgSe4", "functional": "GGA-PBE", "state": "relaxed", "e_tot_ev_per_atom": -4.484, "vol_a3_per_cell": 261.03, "polymorph_energy_mev_per_atom": 0, "e_form_raw_ev_per_atom": -0.08, "magmom_total_mub_per_cell": 2.05, "lattice": [[-1.133, -4.563, -4.431], [6.885, -0.401, 1.316], [-3.867, -1.853, 5.560]], "species": ["Cr", "Cr", "Ag", "Ag", "Se", "Se", "Se", "Se", "Se", "Se", "Se", "Se"], "fractional_positions": [[0.750, 0.001, 0.999], [0.250, 0.999, 0.001], [0.250, 0.373, 0.627], [0.750, 0.627, 0.373], [0.144, 0.324, 0.187], [0.050, 0.943, 0.260], [0.356, 0.813, 0.676], [0.644, 0.187, 0.324], [0.856, 0.676, 0.813], [0.550, 0.260, 0.943], [0.450, 0.740, 0.057], [0.950, 0.057, 0.740]]}

20.
{"formula": "CrAg2Se", "functional": "GGA-PBE", "state": "relaxed", "e_tot_ev_per_atom": -4.578, "vol_a3_per_cell": 78.33, "e_form_raw_ev_per_atom": 0.12, "magmom_total_mub_per_cell": 2.75, "lattice": [[-3.031, 1.403, 0.443], [-2.084, -1.105, 2.405], [-0.030, 5.446, 6.976]], "species": ["Ag", "Ag", "Cr", "Se"], "fractional_positions": [[0.981, 0.981, 0.976], [0.146, 0.146, 0.233], [0.466, 0.466, 0.733], [0.907, 0.907, 0.558]]}